1.
Computed, not measured: crystalline KZr3Ir at its relaxed geometry at the GGA-PBE level of DFT.

a = 4.736 Å, b = 4.736 Å, c = 4.736 Å
α = 90.00°, β = 90.00°, γ = 90.00°
Atoms (fractional coordinates):
1 K 0.000 0.000 0.000
2 Zr 0.000 0.000 0.500
3 Zr 0.000 0.500 0.000
4 Zr 0.500 0.000 0.000
5 Ir 0.500 0.500 0.500

Computed properties:
E_form (eV per atom): 2.024
Symmetry: Pm-3m (221)
E above lowest polymorph (meV/atom): 1674



2.
Computed, not measured: crystalline Pr4Pt3 at its relaxed geometry at the GGA-PBE level of DFT.

a = 8.065 Å, b = 8.065 Å, c = 8.065 Å
α = 110.70°, β = 110.70°, γ = 110.70°
Atoms (fractional coordinates):
1 Pr 0.000 0.000 0.000
2 Pr 0.197 0.750 0.303
3 Pr 0.250 0.697 0.803
4 Pr 0.303 0.197 0.750
5 Pr 0.500 0.500 0.500
6 Pr 0.697 0.803 0.250
7 Pr 0.750 0.303 0.197
8 Pr 0.803 0.250 0.697
9 Pt 0.066 0.250 0.434
10 Pt 0.250 0.434 0.066
11 Pt 0.434 0.066 0.250
12 Pt 0.566 0.934 0.750
13 Pt 0.750 0.566 0.934
14 Pt 0.934 0.750 0.566

Computed properties:
E_form (eV per atom): -0.961
Symmetry: R-3c (167)



3.
Computed, not measured: crystalline TlOs2Br at its relaxed geometry at the GGA-PBE level of DFT.

a = 2.982 Å, b = 2.982 Å, c = 9.356 Å
α = 90.00°, β = 90.00°, γ = 90.00°
Atoms (fractional coordinates):
1 Tl 0.000 0.000 0.000
2 Os 0.000 0.000 0.579
3 Os 0.500 0.500 0.741
4 Br 0.500 0.500 0.375

Computed properties:
Formation energy (no corrections) (eV/atom): 0.646
Symmetry: P4mm (99)
E above lowest polymorph (meV/atom): 105



4.
Computed, not measured: crystalline CaIn3Rh at its relaxed geometry at the GGA-PBE level of DFT.

a = 5.138 Å, b = 5.138 Å, c = 5.138 Å
α = 90.00°, β = 90.00°, γ = 90.00°
Atoms (fractional coordinates):
1 Ca 0.000 0.000 0.000
2 In 0.000 0.500 0.500
3 In 0.500 0.000 0.500
4 In 0.500 0.500 0.000
5 Rh 0.500 0.500 0.500

Computed properties:
E_form (eV per atom): -0.255
Symmetry: Pm-3m (221)
E above lowest polymorph (meV/atom): 181



Number 1: Fermi-level density of states 7.5 states/eV per cell. Number 2: Fermi-level density of states 9.8 states/eV per cell. Number 3: Fermi-level density of states 2.8 states/eV per cell. Number 4: Fermi-level density of states 3.1 states/eV per cell.